DFT (GGA-PBE) results for MgCr2As after structural relaxation.

Properties
* offset from the most stable computed form: 208.6 meV per atom
* crystal system: orthorhombic
* volume: 14.63 Å³ per atom
* formation energy: 1.3 eV/f.u.

a b c (Å): 4.956 4.956 4.956
angles (deg): 142.11 127.44 66.60
Fractional positions:
1 As 0.250 0.750 0.500
2 Cr 0.024 0.024 0.000
3 Cr 0.476 0.476 0.000
4 Mg 0.750 0.250 0.500



DFT (GGA-PBE) results for MgCrAs2 after structural relaxation.

Properties
* crystal system: orthorhombic
* volume: 18.10 Å³ per atom
* formation energy: -0.2 eV/f.u.

a b c (Å): 4.815 4.815 4.815
angles (deg): 131.17 116.07 84.39
Fractional positions:
1 Cr 0.750 0.250 0.500
2 As 0.980 0.980 0.000
3 As 0.520 0.520 0.000
4 Mg 0.250 0.750 0.500